A:
Material: LiCrRe2
Method: DFT, PBE-GGA
State: relaxed

POSCAR file:
```
LiCrRe2
1.0
2.6146 -0.0024 0.0000
-0.9274 2.4446 0.0000
0.0000 0.0000 8.8410
Cr Li Re
1 1 2
direct
0.5000 0.5000 0.2500
0.5000 0.5000 0.7500
0.0000 0.0000 0.0155
0.0000 0.0000 0.4845
```

symmetry: No. 65

=====

B:
Material: LiCrRe2
Method: DFT, PBE-GGA
State: relaxed

POSCAR file:
```
LiCrRe2
1.0
0.0000 2.9577 2.9577
2.9577 0.0000 2.9577
2.9577 2.9577 0.0000
Re Cr Li
2 1 1
direct
0.7500 0.7500 0.7500
0.2500 0.2500 0.2500
0.5000 0.5000 0.5000
0.0000 0.0000 0.0000
```

symmetry: No. 225

=====

C:
Material: LiCrRe2
Method: DFT, PBE-GGA
State: relaxed

POSCAR file:
```
LiCrRe2
1.0
3.0561 0.0000 0.0000
0.0000 3.0561 0.0000
0.0000 0.0000 5.8666
Re Li Cr
2 1 1
direct
0.0000 0.0000 0.9931
0.5000 0.5000 0.2448
0.5000 0.5000 0.7446
0.0000 0.0000 0.5174
```

symmetry: No. 99

=====

Most stable pick: A. Distance to second place: 0.098 eV/atom.

=====

A:
Material: LiCrRe2
Method: DFT, PBE-GGA
State: relaxed

POSCAR file:
```
LiCrRe2
1.0
5.0402 -0.0039 -0.0130
-2.3141 4.4069 -0.0002
0.4120 0.7383 2.4345
Re Li Cr
2 1 1
direct
0.5000 0.0000 0.5000
0.0000 0.0000 0.0000
0.5000 0.5000 0.0000
0.0000 0.5000 0.5000
```

symmetry: No. 12

=====

B:
Material: LiCrRe2
Method: DFT, PBE-GGA
State: relaxed

POSCAR file:
```
LiCrRe2
1.0
4.1440 0.0000 0.0000
0.0000 2.5826 -0.0050
0.0000 0.7901 5.0354
Re Li Cr
2 1 1
direct
0.0000 0.0174 0.9959
0.0000 0.4826 0.5041
0.5000 0.7500 0.7500
0.5000 0.2500 0.2500
```

symmetry: No. 10

=====

C:
Material: LiCrRe2
Method: DFT, PBE-GGA
State: relaxed

POSCAR file:
```
LiCrRe2
1.0
-3.5777 1.9881 -2.0083
-3.6620 -0.4838 -2.6724
-2.9480 -0.9237 3.8123
Li Cr Re
1 1 2
direct
0.7495 0.7495 0.7455
0.5026 0.5026 0.5122
0.2478 0.2478 0.2515
0.0001 0.0001 0.9908
```

symmetry: No. 8

=====

Most stable pick: B. Distance to second place: 0.052 eV/atom.

=====

A:
Material: LiCrRe
Method: DFT, PBE-GGA
State: relaxed

POSCAR file:
```
LiCrRe
1.0
6.9127 0.0036 0.0000
6.0059 3.4225 0.0000
-6.4593 -1.7130 1.7686
Li Cr Re
1 1 1
direct
0.3336 0.3336 0.0000
0.0015 0.0015 0.0000
0.6648 0.6648 0.0000
```

symmetry: No. 107

=====

B:
Material: LiCrRe
Method: DFT, PBE-GGA
State: relaxed

POSCAR file:
```
LiCrRe
1.0
-3.6877 2.2596 -1.0882
-2.9656 -2.4125 -2.2965
2.2356 0.5879 3.8138
Cr Li Re
1 1 1
direct
0.0021 0.0021 0.0000
0.6674 0.6674 0.0000
0.3305 0.3305 0.0000
```

symmetry: No. 44

=====

Most stable pick: B. Distance to second place: 0.238 eV/atom.

=====

A:
Material: Li2CrRh
Method: DFT, PBE-GGA
State: relaxed

POSCAR file:
```
Li2CrRh
1.0
-0.0132 -2.5843 0.3989
1.5674 1.3579 1.5928
-6.8733 0.9537 5.9507
Cr Li Rh
1 2 1
direct
0.5000 0.5000 0.7349
0.0000 0.0000 0.9854
0.5000 0.5000 0.2704
0.0000 0.0000 0.5094
```

symmetry: No. 35

=====

B:
Material: Li2CrRh
Method: DFT, PBE-GGA
State: relaxed

POSCAR file:
```
Li2CrRh
1.0
-8.8865 -1.0333 2.5728
-8.5586 -3.3599 1.4559
-7.8803 -3.0032 3.9421
Cr Li Rh
1 2 1
direct
0.7500 0.7500 0.7500
0.9964 0.9964 0.9964
0.5036 0.5036 0.5036
0.2500 0.2500 0.2500
```

symmetry: No. 166

=====

Most stable pick: A. Distance to second place: 0.050 eV/atom.

=====

A:
Material: Li2CrRh
Method: DFT, PBE-GGA
State: relaxed

POSCAR file:
```
Li2CrRh
1.0
-0.3244 1.0917 -4.1712
3.4821 -0.8305 -0.4882
-0.9244 -3.3958 -0.8169
Cr Li Rh
1 2 1
direct
0.5000 0.0000 0.5000
0.0000 0.0000 0.0000
0.0000 0.5000 0.5000
0.5000 0.5000 0.0000
```

symmetry: No. 123

=====

B:
Material: Li2CrRh
Method: DFT, PBE-GGA
State: relaxed

POSCAR file:
```
Li2CrRh
1.0
-2.7848 -1.1813 -4.0422
2.0443 -2.6196 -3.8011
-0.3269 -0.2544 5.0317
Li Cr Rh
2 1 1
direct
0.5000 0.5000 0.0000
0.0000 0.0000 0.0000
0.7500 0.2500 0.5000
0.2500 0.7500 0.5000
```

symmetry: No. 139

=====

Most stable pick: B. Distance to second place: 0.012 eV/atom.

=====

A:
Material: Li2CrRh
Method: DFT, PBE-GGA
State: relaxed

POSCAR file:
```
Li2CrRh
1.0
-3.7398 -3.0440 -2.1013
-1.7192 -4.8486 -1.0967
-2.8372 -1.6065 2.8209
Rh Li Cr
1 2 1
direct
0.7500 0.7500 0.7500
0.4890 0.4890 0.5103
0.0110 0.0110 0.9897
0.2500 0.2500 0.2500
```

symmetry: No. 12

=====

B:
Material: Li2CrRh
Method: DFT, PBE-GGA
State: relaxed

POSCAR file:
```
Li2CrRh
1.0
2.7983 0.0000 0.0000
0.0000 4.2404 0.0000
0.0000 0.0000 4.8063
Rh Li Cr
1 2 1
direct
0.5000 0.5000 0.2500
0.0000 0.0000 0.0162
0.0000 0.0000 0.4838
0.5000 0.5000 0.7500
```

symmetry: No. 47

=====

C:
Material: Li2CrRh
Method: DFT, PBE-GGA
State: relaxed

POSCAR file:
```
Li2CrRh
1.0
-2.2747 1.5778 -0.9594
-2.3894 -1.4947 3.2072
1.3076 3.4574 2.5855
Li Rh Cr
2 1 1
direct
0.0000 0.0000 0.0000
0.5000 0.5000 0.0000
0.5000 0.0000 0.5000
0.0000 0.5000 0.5000
```

symmetry: No. 47

=====

Most stable pick: A. Distance to second place: 0.015 eV/atom.